(1)
# Si2PtRh2

A relaxed Si2PtRh2 crystal (PBE-GGA, Alexandria via LeMat-Bulk).

Output
As for the uncorrected formation energy: -557 meV/atom. Its energy above the lowest structure with this stoichiometry is 117 meV/atom.

Unit cell a=7.1098 b=7.1098 c=2.7575 alpha=90.00 beta=90.00 gamma=90.00
Last column: nearest neighbours and their distance in Å.
Fractional positions:
1 Si 0.1581 0.3419 0.0000  6 Rh 2.45-2.53
2 Si 0.3419 0.8419 0.0000  6 Rh 2.45-2.53
3 Si 0.6581 0.1581 0.0000  6 Rh 2.45-2.53
4 Si 0.8419 0.6581 0.0000  6 Rh 2.45-2.53
5 Pt 0.0000 0.0000 0.5000  4 Rh 2.75, 2 Pt 2.76, 8 Si 3.01
6 Pt 0.5000 0.5000 0.5000  4 Rh 2.75, 2 Pt 2.76, 8 Si 3.01
7 Rh 0.1400 0.6400 0.5000  6 Si 2.45-2.53, 2 Pt 2.75
8 Rh 0.3600 0.1400 0.5000  6 Si 2.45-2.53, 2 Pt 2.75
9 Rh 0.6400 0.8600 0.5000  6 Si 2.45-2.53, 2 Pt 2.75
10 Rh 0.8600 0.3600 0.5000  6 Si 2.45-2.53, 2 Pt 2.75


(2)
# AlIn2Ga6

A relaxed AlIn2Ga6 crystal (PBE-GGA, Alexandria via LeMat-Bulk).

Output
Its energy of formation from the pure elements is 0.064 eV/atom.

Unit cell a=3.2497 b=7.2807 c=8.8607 alpha=114.23 beta=90.20 gamma=90.21
Last column: nearest neighbours and their distance in Å.
Fractional positions:
1 Al 0.0000 0.0000 0.0000  8 Ga 2.68-2.85
2 In 0.4907 0.7148 0.4297  8 Ga 2.98-3.21, 2 In 3.25
3 In 0.5093 0.2852 0.5703  8 Ga 2.98-3.21, 2 In 3.25
4 Ga 0.0061 0.0564 0.7190  1 Al 2.68, 3 Ga 2.87-2.95, 2 In 2.99-3.00
5 Ga 0.0064 0.6625 0.7193  1 Al 2.68, 3 Ga 2.87-2.95, 2 In 2.98-3.01
6 Ga 0.4988 0.6791 0.0002  3 Ga 2.61-2.92, 2 Al 2.84-2.85
7 Ga 0.5012 0.3209 0.9998  3 Ga 2.61-2.92, 2 Al 2.84-2.85
8 Ga 0.9936 0.3375 0.2807  1 Al 2.68, 3 Ga 2.87-2.95, 2 In 2.98-3.01
9 Ga 0.9939 0.9436 0.2810  1 Al 2.68, 3 Ga 2.87-2.95, 2 In 2.99-3.00


(3)
# Cs3YAg

A relaxed Cs3YAg crystal (PBE-GGA, Alexandria via LeMat-Bulk).

Output
Its energy of formation from the pure elements is 0.608 eV/atom. Its energy above the lowest structure with this stoichiometry is 0 meV/atom.

Unit cell a=7.0949 b=7.0949 c=7.0949 alpha=90.00 beta=90.00 gamma=90.00
Last column: nearest neighbours and their distance in Å.
Fractional positions:
1 Cs 0.0000 0.0000 0.5000  2 Ag 3.55
2 Cs 0.0000 0.5000 0.0000  2 Ag 3.55
3 Cs 0.5000 0.0000 0.0000  2 Ag 3.55
4 Y 0.5000 0.5000 0.5000  12 Cs 5.02
5 Ag 0.0000 0.0000 0.0000  6 Cs 3.55


(4)
# Cd4Ag5Au

A relaxed Cd4Ag5Au crystal (PBE-GGA, Alexandria via LeMat-Bulk).

Output
Its energy of formation from the pure elements is 0.079 eV/atom. Its energy above the lowest structure with this stoichiometry is 148 meV/atom.

Unit cell a=6.6742 b=6.6742 c=6.6742 alpha=101.13 beta=101.13 gamma=127.87
Last column: nearest neighbours and their distance in Å.
Fractional positions:
1 Cd 0.0676 0.3114 0.3790  6 Ag 2.78-3.03, 1 Au 3.01
2 Cd 0.3114 0.9324 0.2439  6 Ag 2.78-3.03, 1 Au 3.01
3 Cd 0.6886 0.0676 0.7561  6 Ag 2.78-3.03, 1 Au 3.01
4 Cd 0.9324 0.6886 0.6210  6 Ag 2.78-3.03, 1 Au 3.01
5 Ag 0.2341 0.2341 0.0000  1 Au 2.69, 4 Ag 2.79
6 Ag 0.2514 0.6047 0.8511  5 Cd 2.78-3.01, 1 Ag 2.79, 1 Au 2.80
7 Ag 0.4004 0.2514 0.6467  5 Cd 2.78-3.01, 1 Ag 2.79, 1 Au 2.80
8 Ag 0.6047 0.7537 0.3533  5 Cd 2.78-3.01, 1 Ag 2.79, 1 Au 2.80
9 Ag 0.7537 0.4004 0.1489  5 Cd 2.78-3.01, 1 Ag 2.79, 1 Au 2.80
10 Au 0.7753 0.7753 0.0000  5 Ag 2.69-2.80, 4 Cd 3.01


(5)
# Sc8Al2Os

A relaxed Sc8Al2Os crystal (PBE-GGA, Alexandria via LeMat-Bulk).

Output
Its energy of formation from the pure elements is -0.287 eV/atom.

Unit cell a=8.4247 b=8.4247 c=8.4247 alpha=145.84 beta=134.59 gamma=58.02
Last column: nearest neighbours and their distance in Å.
Fractional positions:
1 Sc 0.1308 0.3677 0.7630  1 Os 2.59
2 Sc 0.1869 0.1869 0.0000  8 Sc 3.08-3.18, 4 Al 3.10-3.25
3 Sc 0.2453 0.0000 0.2453  2 Os 2.94, 7 Sc 3.15-3.19, 2 Al 3.21
4 Sc 0.3953 0.6323 0.7630  1 Os 2.59
5 Sc 0.6047 0.3677 0.2370  1 Os 2.59
6 Sc 0.7547 0.0000 0.7547  2 Os 2.94, 7 Sc 3.15-3.19, 2 Al 3.21
7 Sc 0.8131 0.8131 0.0000  8 Sc 3.08-3.18, 4 Al 3.10-3.25
8 Sc 0.8692 0.6323 0.2370  1 Os 2.59
9 Al 0.3131 0.8131 0.5000  12 Sc 3.02-3.25
10 Al 0.6869 0.1869 0.5000  12 Sc 3.02-3.25
11 Os 0.0000 0.5000 0.5000  4 Sc 2.59


(6)
# Sc3Ta2WC6

A relaxed Sc3Ta2WC6 crystal (PBE-GGA, Alexandria via LeMat-Bulk).

Output
Its energy of formation from the pure elements is -0.584 eV/atom.

Unit cell a=5.5058 b=5.5058 c=5.6009 alpha=99.42 beta=99.42 gamma=119.98
Last column: nearest neighbours and their distance in Å.
Fractional positions:
1 Sc 0.0000 0.0000 0.0000  6 C 2.31-2.33
2 Sc 0.3329 0.6671 0.0000  6 C 2.31-2.33
3 Sc 0.6671 0.3329 0.0000  6 C 2.31-2.33
4 Ta 0.1667 0.8333 0.5000  6 C 2.22
5 Ta 0.8333 0.1667 0.5000  6 C 2.22
6 W 0.5000 0.5000 0.5000  6 C 2.19-2.20
7 C 0.0921 0.4222 0.2663  1 W 2.20, 2 Ta 2.22, 3 Sc 2.31-2.33
8 C 0.2484 0.2484 0.7335  1 W 2.19, 2 Ta 2.22, 3 Sc 2.31-2.33
9 C 0.4222 0.0921 0.2663  1 W 2.20, 2 Ta 2.22, 3 Sc 2.31-2.33
10 C 0.5778 0.9079 0.7337  1 W 2.20, 2 Ta 2.22, 3 Sc 2.31-2.33
11 C 0.7516 0.7516 0.2665  1 W 2.19, 2 Ta 2.22, 3 Sc 2.31-2.33
12 C 0.9079 0.5778 0.7337  1 W 2.20, 2 Ta 2.22, 3 Sc 2.31-2.33


(7)
# CsRb2Sr

A relaxed CsRb2Sr crystal (PBE-GGA, Alexandria via LeMat-Bulk).

Output
Its energy of formation from the pure elements is 0.218 eV/atom. Its energy above the lowest structure with this stoichiometry is 115 meV/atom.

Unit cell a=12.2503 b=12.2503 c=9.3957 alpha=90.00 beta=90.00 gamma=90.00
Last column: nearest neighbours and their distance in Å.
Fractional positions:
1 Cs 0.0000 0.0000 0.0000  4 Rb 4.52, 2 Sr 4.70
2 Cs 0.0000 0.5000 0.2500  4 Rb 4.52, 2 Sr 4.70
3 Cs 0.5000 0.0000 0.7500  4 Rb 4.52, 2 Sr 4.70
4 Cs 0.5000 0.5000 0.5000  4 Rb 4.52, 2 Sr 4.70
5 Rb 0.2466 0.2500 0.6250  2 Sr 4.46, 2 Cs 4.52, 2 Rb 4.70
6 Rb 0.2500 0.7466 0.8750  2 Sr 4.46, 2 Cs 4.52, 2 Rb 4.70
7 Rb 0.2500 0.7534 0.3750  2 Sr 4.46, 2 Cs 4.52, 2 Rb 4.70
8 Rb 0.2534 0.2500 0.1250  2 Sr 4.46, 2 Cs 4.52, 2 Rb 4.70
9 Rb 0.7466 0.7500 0.1250  2 Sr 4.46, 2 Cs 4.52, 2 Rb 4.70
10 Rb 0.7500 0.2466 0.3750  2 Sr 4.46, 2 Cs 4.52, 2 Rb 4.70
11 Rb 0.7500 0.2534 0.8750  2 Sr 4.46, 2 Cs 4.52, 2 Rb 4.70
12 Rb 0.7534 0.7500 0.6250  2 Sr 4.46, 2 Cs 4.52, 2 Rb 4.70
13 Sr 0.0000 0.0000 0.5000  4 Rb 4.46, 2 Cs 4.70
14 Sr 0.0000 0.5000 0.7500  4 Rb 4.46, 2 Cs 4.70
15 Sr 0.5000 0.0000 0.2500  4 Rb 4.46, 2 Cs 4.70
16 Sr 0.5000 0.5000 0.0000  4 Rb 4.46, 2 Cs 4.70


(8)
# Ca6N

A relaxed Ca6N crystal (PBE-GGA, Alexandria via LeMat-Bulk).

Output
As for the uncorrected formation energy: -303 meV/atom.

Unit cell a=12.5344 b=11.3731 c=6.6287 alpha=90.00 beta=90.00 gamma=90.00
Last column: nearest neighbours and their distance in Å.
Fractional positions:
1 Ca 0.0028 0.2500 0.1940  1 N 2.48
2 Ca 0.0085 0.5976 0.2621  1 N 2.45
3 Ca 0.0085 0.9024 0.2621  1 N 2.45
4 Ca 0.2309 0.5981 0.9390  1 N 2.48
5 Ca 0.2309 0.9019 0.9390  1 N 2.48
6 Ca 0.2354 0.7500 0.3947  1 N 2.43
7 Ca 0.2646 0.2500 0.8947  1 N 2.43
8 Ca 0.2691 0.0981 0.4390  1 N 2.48
9 Ca 0.2691 0.4019 0.4390  1 N 2.48
10 Ca 0.4915 0.0976 0.7621  1 N 2.45
11 Ca 0.4915 0.4024 0.7621  1 N 2.45
12 Ca 0.4972 0.7500 0.6940  1 N 2.48
13 Ca 0.5028 0.2500 0.3060  1 N 2.48
14 Ca 0.5085 0.5976 0.2379  1 N 2.45
15 Ca 0.5085 0.9024 0.2379  1 N 2.45
16 Ca 0.7309 0.5981 0.5610  1 N 2.48
17 Ca 0.7309 0.9019 0.5610  1 N 2.48
18 Ca 0.7354 0.7500 0.1053  1 N 2.43
19 Ca 0.7646 0.2500 0.6053  1 N 2.43
20 Ca 0.7691 0.0981 0.0610  1 N 2.48
21 Ca 0.7691 0.4019 0.0610  1 N 2.48
22 Ca 0.9915 0.0976 0.7379  1 N 2.45
23 Ca 0.9915 0.4024 0.7379  1 N 2.45
24 Ca 0.9972 0.7500 0.8060  1 N 2.48
25 N 0.1180 0.7500 0.1020  6 Ca 2.43-2.48
26 N 0.3820 0.2500 0.6020  6 Ca 2.43-2.48
27 N 0.6180 0.7500 0.3980  6 Ca 2.43-2.48
28 N 0.8820 0.2500 0.8980  6 Ca 2.43-2.48


Number 1: V 13.94 A^3/atom. Number 2: V 21.24 A^3/atom. Number 3: V 71.43 A^3/atom. Number 4: V 21.08 A^3/atom. Number 5: V 21.55 A^3/atom. Number 6: V 11.58 A^3/atom. Number 7: V 88.13 A^3/atom. Number 8: V 33.75 A^3/atom.